(1)
# SnH2Pb2 PBE-GGA relaxed
data_SnH2Pb2
_chemical_formula_sum 'Sn2 H4 Pb4'
_symmetry_space_group_name_H-M 'C 1 2/m 1'
_symmetry_Int_Tables_number 12
_cell_length_a 6.0754
_cell_length_b 3.9197
_cell_length_c 8.7546
_cell_angle_alpha 90.00
_cell_angle_beta 93.85
_cell_angle_gamma 90.00
loop_
_symmetry_equiv_pos_as_xyz
'x,y,z'
'-x,-y,-z'
'-x,y,-z'
'x,-y,z'
'x+1/2,y+1/2,z'
'-x+1/2,-y+1/2,-z'
'-x+1/2,y+1/2,-z'
'x+1/2,-y+1/2,z'
loop_
_atom_site_label
_atom_site_type_symbol
_atom_site_fract_x
_atom_site_fract_y
_atom_site_fract_z
Sn1 Sn 0.0000 0.0000 0.0000
H1 H 0.1910 0.5000 0.6016
Pb1 Pb 0.1653 0.5000 0.3018
# Calculated density   8.5 g/cm3
# DFT total energy   -3.271 eV/atom
# N(E_F)   1.434 states/eV/f.u.

(2)
# V2NiPtC PBE-GGA relaxed
data_V2NiPtC
_chemical_formula_sum 'V2 Ni1 Pt1 C1'
_symmetry_space_group_name_H-M 'P 4/m m m'
_symmetry_Int_Tables_number 123
_symmetry_space_group_name_Hall '-P 4 2'
_cell_length_a 3.9953
_cell_length_b 3.9953
_cell_length_c 3.7604
_cell_angle_alpha 90.00
_cell_angle_beta 90.00
_cell_angle_gamma 90.00
loop_
_atom_site_label
_atom_site_type_symbol
_atom_site_fract_x
_atom_site_fract_y
_atom_site_fract_z
V1 V 0.0000 0.5000 0.0000
Ni1 Ni 0.0000 0.0000 0.5000
Pt1 Pt 0.5000 0.5000 0.5000
C1 C 0.0000 0.0000 0.0000
# ΔE_f   -0.276 eV/atom
# Calculated density   10.2 g/cm3
# N(E_F)   3.830 states/eV/f.u.

(3)
# K2ZnGa3Au4 PBE-GGA relaxed
data_K2ZnGa3Au4
_chemical_formula_sum 'K2 Zn1 Ga3 Au4'
_symmetry_space_group_name_H-M 'P -4 m 2'
_symmetry_Int_Tables_number 115
_cell_length_a 4.7253
_cell_length_b 4.7253
_cell_length_c 10.2268
_cell_angle_alpha 90.00
_cell_angle_beta 90.00
_cell_angle_gamma 90.00
loop_
_symmetry_equiv_pos_as_xyz
'x,y,z'
'y,-x,-z'
'-x,-y,z'
'-y,x,-z'
'-x,y,z'
'-y,-x,-z'
'x,-y,z'
'y,x,-z'
loop_
_atom_site_label
_atom_site_type_symbol
_atom_site_fract_x
_atom_site_fract_y
_atom_site_fract_z
K1 K 0.0000 0.5000 0.2493
Zn1 Zn 0.0000 0.0000 0.5000
Ga1 Ga 0.0000 0.5000 0.8816
Ga2 Ga 0.5000 0.5000 0.5000
Au1 Au 0.0000 0.0000 0.0000
Au2 Au 0.0000 0.5000 0.6236
Au3 Au 0.5000 0.5000 0.0000
# ΔE_f   -0.311 eV/atom
# Calculated density   8.3 g/cm3
# N(E_F)   2.833 states/eV/f.u.

(4)
# La3CoPb PBE-GGA relaxed
data_La3CoPb
_chemical_formula_sum 'La6 Co2 Pb2'
_symmetry_space_group_name_H-M 'P 63/m m c'
_symmetry_Int_Tables_number 194
_symmetry_space_group_name_Hall '-P 6c 2c'
_cell_length_a 5.1755
_cell_length_b 5.1755
_cell_length_c 15.6538
_cell_angle_alpha 90.00
_cell_angle_beta 90.00
_cell_angle_gamma 120.00
loop_
_atom_site_label
_atom_site_type_symbol
_atom_site_fract_x
_atom_site_fract_y
_atom_site_fract_z
La1 La 0.0000 0.0000 0.2500
La2 La 0.3333 0.6667 0.0933
Co1 Co 0.3333 0.6667 0.2500
Pb1 Pb 0.0000 0.0000 0.0000
# ΔE_f   -0.101 eV/atom
# Calculated density   6.2 g/cm3
# N(E_F)   1.875 states/eV/f.u.

(5)
# FeCo2Cu PBE-GGA relaxed
data_FeCo2Cu
_chemical_formula_sum 'Fe2 Co4 Cu2'
_symmetry_space_group_name_H-M 'C 1 2/m 1'
_symmetry_Int_Tables_number 12
_cell_length_a 4.9625
_cell_length_b 8.2456
_cell_length_c 2.4481
_cell_angle_alpha 90.00
_cell_angle_beta 113.94
_cell_angle_gamma 90.00
loop_
_symmetry_equiv_pos_as_xyz
'x,y,z'
'-x,-y,-z'
'-x,y,-z'
'x,-y,z'
'x+1/2,y+1/2,z'
'-x+1/2,-y+1/2,-z'
'-x+1/2,y+1/2,-z'
'x+1/2,-y+1/2,z'
loop_
_atom_site_label
_atom_site_type_symbol
_atom_site_fract_x
_atom_site_fract_y
_atom_site_fract_z
Fe1 Fe 0.0000 0.0000 0.0000
Co1 Co 0.2500 0.2500 0.5000
Cu1 Cu 0.0000 0.5000 0.0000
# ΔE_f   0.120 eV/atom
# Calculated density   8.6 g/cm3
# N(E_F)   3.556 states/eV/f.u.

(6)
# SmMgCdSn PBE-GGA relaxed
data_SmMgCdSn
_chemical_formula_sum 'Sm4 Mg4 Cd4 Sn4'
_symmetry_space_group_name_H-M 'F -4 3 m'
_symmetry_Int_Tables_number 216
_symmetry_space_group_name_Hall 'F -4 2 3'
_cell_length_a 7.3884
_cell_length_b 7.3884
_cell_length_c 7.3884
_cell_angle_alpha 90.00
_cell_angle_beta 90.00
_cell_angle_gamma 90.00
loop_
_atom_site_label
_atom_site_type_symbol
_atom_site_fract_x
_atom_site_fract_y
_atom_site_fract_z
Sm1 Sm 0.0000 0.0000 0.0000
Mg1 Mg 0.0000 0.0000 0.5000
Cd1 Cd 0.2500 0.2500 0.7500
Sn1 Sn 0.2500 0.2500 0.2500
# ΔE_f   -0.322 eV/atom
# Calculated density   6.7 g/cm3
# N(E_F)   3.358 states/eV/f.u.

(7)
# Pa2CoRh PBE-GGA relaxed
data_Pa2CoRh
_chemical_formula_sum 'Pa4 Co2 Rh2'
_symmetry_space_group_name_H-M 'A m m 2'
_symmetry_Int_Tables_number 38
_cell_length_a 3.3048
_cell_length_b 6.5251
_cell_length_c 7.1056
_cell_angle_alpha 90.00
_cell_angle_beta 90.00
_cell_angle_gamma 90.00
loop_
_symmetry_equiv_pos_as_xyz
'x,y,z'
'-x,-y,z'
'-x,y,z'
'x,-y,z'
'x,y+1/2,z+1/2'
'-x,-y+1/2,z+1/2'
'-x,y+1/2,z+1/2'
'x,-y+1/2,z+1/2'
loop_
_atom_site_label
_atom_site_type_symbol
_atom_site_fract_x
_atom_site_fract_y
_atom_site_fract_z
Pa1 Pa 0.0000 0.2197 0.0000
Co1 Co 0.5000 0.0000 0.3043
Rh1 Rh 0.5000 0.0000 0.7023
# ΔE_f   -0.419 eV/atom
# Calculated density   13.5 g/cm3
# N(E_F)   5.241 states/eV/f.u.

(8)
# Ac2Tb2Nd5 PBE-GGA relaxed
data_Ac2Tb2Nd5
_chemical_formula_sum 'Ac4 Tb4 Nd10'
_symmetry_space_group_name_H-M 'C 1 2/m 1'
_symmetry_Int_Tables_number 12
_cell_length_a 18.3460
_cell_length_b 3.6722
_cell_length_c 10.1991
_cell_angle_alpha 90.00
_cell_angle_beta 103.67
_cell_angle_gamma 90.00
loop_
_symmetry_equiv_pos_as_xyz
'x,y,z'
'-x,-y,-z'
'-x,y,-z'
'x,-y,z'
'x+1/2,y+1/2,z'
'-x+1/2,-y+1/2,-z'
'-x+1/2,y+1/2,-z'
'x+1/2,-y+1/2,z'
loop_
_atom_site_label
_atom_site_type_symbol
_atom_site_fract_x
_atom_site_fract_y
_atom_site_fract_z
Ac1 Ac 0.0145 0.0000 0.1843
Tb1 Tb 0.1724 0.5000 0.4059
Nd1 Nd 0.0000 0.5000 0.5000
Nd2 Nd 0.1624 0.5000 0.0247
Nd3 Nd 0.1634 0.0000 0.7049
# ΔE_f   0.105 eV/atom
# Calculated density   7.4 g/cm3
# N(E_F)   13.407 states/eV/f.u.

(9)
# Sc3TlO PBE-GGA relaxed
data_Sc3TlO
_chemical_formula_sum 'Sc12 Tl4 O4'
_symmetry_space_group_name_H-M 'C m m m'
_symmetry_Int_Tables_number 65
_symmetry_space_group_name_Hall '-C 2 2'
_cell_length_a 6.0452
_cell_length_b 10.3962
_cell_length_c 6.0939
_cell_angle_alpha 90.00
_cell_angle_beta 90.00
_cell_angle_gamma 90.00
loop_
_atom_site_label
_atom_site_type_symbol
_atom_site_fract_x
_atom_site_fract_y
_atom_site_fract_z
Sc1 Sc 0.0000 0.0000 0.0000
Sc2 Sc 0.0000 0.5000 0.5000
Sc3 Sc 0.2500 0.2500 0.2471
Tl1 Tl 0.0000 0.0000 0.5000
Tl2 Tl 0.0000 0.5000 0.0000
O1 O 0.0000 0.2011 0.0000
# Calculated density   6.2 g/cm3
# Formation energy (no corrections)   -128.52 kJ/mol of atoms
# N(E_F)   0.665 states/eV/f.u.

(10)
# SrPtF PBE-GGA relaxed
data_SrPtF
_chemical_formula_sum 'Sr2 Pt2 F2'
_symmetry_space_group_name_H-M 'P 4/n m m'
_symmetry_Int_Tables_number 129
_cell_length_a 3.7439
_cell_length_b 3.7439
_cell_length_c 8.3859
_cell_angle_alpha 90.00
_cell_angle_beta 90.00
_cell_angle_gamma 90.00
loop_
_symmetry_equiv_pos_as_xyz
'x,y,z'
'-x,-y,-z'
'-y+1/2,x,z'
'y+1/2,-x,-z'
'-x+1/2,-y+1/2,z'
'x+1/2,y+1/2,-z'
'y,-x+1/2,z'
'-y,x+1/2,-z'
'x+1/2,-y,-z'
'-x+1/2,y,z'
'-y,-x,-z'
'y,x,z'
'-x,y+1/2,-z'
'x,-y+1/2,z'
'y+1/2,x+1/2,-z'
'-y+1/2,-x+1/2,z'
loop_
_atom_site_label
_atom_site_type_symbol
_atom_site_fract_x
_atom_site_fract_y
_atom_site_fract_z
Sr1 Sr 0.2500 0.2500 0.2009
Pt1 Pt 0.2500 0.7500 0.5000
F1 F 0.2500 0.2500 0.8971
# Calculated density   8.5 g/cm3
# Formation energy (no corrections)   -207.82 kJ/mol of atoms
# N(E_F)   0.768 states/eV/f.u.

(11)
# Er2Sc3Si4 PBE-GGA relaxed
data_Er2Sc3Si4
_chemical_formula_sum 'Er4 Sc6 Si8'
_symmetry_space_group_name_H-M 'P 1 21/c 1'
_symmetry_Int_Tables_number 14
_cell_length_a 7.3445
_cell_length_b 7.3596
_cell_length_c 7.0373
_cell_angle_alpha 90.00
_cell_angle_beta 108.20
_cell_angle_gamma 90.00
loop_
_symmetry_equiv_pos_as_xyz
'x,y,z'
'-x,-y,-z'
'-x,y+1/2,-z+1/2'
'x,-y+1/2,z+1/2'
loop_
_atom_site_label
_atom_site_type_symbol
_atom_site_fract_x
_atom_site_fract_y
_atom_site_fract_z
Er1 Er 0.1942 0.1747 0.0730
Sc1 Sc 0.2485 0.6799 0.2486
Sc2 Sc 0.5000 0.0000 0.5000
Si1 Si 0.0772 0.5351 0.8646
Si2 Si 0.4921 0.1219 0.8723
# Calculated density   5.3 g/cm3
# Formation energy (no corrections)   -79.84 kJ/mol of atoms
# N(E_F)   7.647 states/eV/f.u.

(12)
# Ac2InSi3Ag4 PBE-GGA relaxed
data_Ac2InSi3Ag4
_chemical_formula_sum 'Ac2 In1 Si3 Ag4'
_symmetry_space_group_name_H-M 'P -4 m 2'
_symmetry_Int_Tables_number 115
_cell_length_a 4.4786
_cell_length_b 4.4786
_cell_length_c 11.1871
_cell_angle_alpha 90.00
_cell_angle_beta 90.00
_cell_angle_gamma 90.00
loop_
_symmetry_equiv_pos_as_xyz
'x,y,z'
'y,-x,-z'
'-x,-y,z'
'-y,x,-z'
'-x,y,z'
'-y,-x,-z'
'x,-y,z'
'y,x,-z'
loop_
_atom_site_label
_atom_site_type_symbol
_atom_site_fract_x
_atom_site_fract_y
_atom_site_fract_z
Ac1 Ac 0.0000 0.5000 0.2365
In1 In 0.0000 0.0000 0.5000
Si1 Si 0.0000 0.5000 0.8719
Si2 Si 0.5000 0.5000 0.5000
Ag1 Ag 0.0000 0.0000 0.0000
Ag2 Ag 0.0000 0.5000 0.6454
Ag3 Ag 0.5000 0.5000 0.0000
# Calculated density   8.0 g/cm3
# Formation energy (no corrections)   -30.60 kJ/mol of atoms
# N(E_F)   5.035 states/eV/f.u.

Copy entry 3 word for word.
# K2ZnGa3Au4 PBE-GGA relaxed
data_K2ZnGa3Au4
_chemical_formula_sum 'K2 Zn1 Ga3 Au4'
_symmetry_space_group_name_H-M 'P -4 m 2'
_symmetry_Int_Tables_number 115
_cell_length_a 4.7253
_cell_length_b 4.7253
_cell_length_c 10.2268
_cell_angle_alpha 90.00
_cell_angle_beta 90.00
_cell_angle_gamma 90.00
loop_
_symmetry_equiv_pos_as_xyz
'x,y,z'
'y,-x,-z'
'-x,-y,z'
'-y,x,-z'
'-x,y,z'
'-y,-x,-z'
'x,-y,z'
'y,x,-z'
loop_
_atom_site_label
_atom_site_type_symbol
_atom_site_fract_x
_atom_site_fract_y
_atom_site_fract_z
K1 K 0.0000 0.5000 0.2493
Zn1 Zn 0.0000 0.0000 0.5000
Ga1 Ga 0.0000 0.5000 0.8816
Ga2 Ga 0.5000 0.5000 0.5000
Au1 Au 0.0000 0.0000 0.0000
Au2 Au 0.0000 0.5000 0.6236
Au3 Au 0.5000 0.5000 0.0000
# ΔE_f   -0.311 eV/atom
# Calculated density   8.3 g/cm3
# N(E_F)   2.833 states/eV/f.u.